No. 1
Density functional theory data (PBE) for a geometry-optimized CuP2Pt structure.

```
CuP2Pt
1.0
2.6817 0.0000 0.0000
0.0000 3.5718 0.0000
-0.1060 0.0000 6.8172
Cu P Pt
1 2 1
Direct
0.0000 0.0000 0.0000
0.4956 0.5000 0.8644
0.5115 0.0000 0.4644
0.5070 0.5000 0.2412
```

Results
E_form in eV/atom: 0.02
ΔE to the lowest computed polymorph in kJ per mole of atoms: 12.2



No. 2
Density functional theory data (PBE) for a geometry-optimized CuP2Pt structure.

```
CuP2Pt
1.0
4.0841 0.0000 0.0000
0.0000 4.0841 0.0000
0.0000 0.0000 3.4305
Cu P Pt
1 2 1
Direct
0.0000 0.0000 0.0000
0.0000 0.5000 0.5000
0.5000 0.0000 0.5000
0.5000 0.5000 0.0000
```

Results
E_form in eV/atom: 0.18
ΔE to the lowest computed polymorph in kJ per mole of atoms: 28.1



No. 3
Density functional theory data (PBE) for a geometry-optimized CuP6Pt structure.

```
CuP6Pt
1.0
5.3180 0.0000 0.0000
1.1566 5.3639 0.0000
1.9578 2.0695 4.9745
Cu P Pt
1 6 1
Direct
0.0000 0.0000 0.0000
0.0242 0.4472 0.8283
0.3466 0.9561 0.2002
0.3798 0.3678 0.2076
0.6202 0.6322 0.7924
0.6534 0.0439 0.7998
0.9758 0.5528 0.1717
0.5000 0.5000 0.5000
```

Results
E_form in eV/atom: -0.09



For the records above, the corresponding E_tot values read -5.22; -5.06; -5.42 eV/atom.